(1)
# PBE-GGA CsPt2I, optimized geometry
# Formation energy (no corrections) ... 1 meV/atom
data_CsPt2I
_chemical_formula_sum 'Cs4 Pt8 I4'
_cell_length_a 5.674
_cell_length_b 5.674
_cell_length_c 17.363
_cell_angle_alpha 90.00
_cell_angle_beta 90.00
_cell_angle_gamma 90.00
_symmetry_space_group_name_H-M 'I 41/a m d'
_symmetry_Int_Tables_number 141
loop_
_symmetry_equiv_pos_as_xyz
'x,y,z'
'-x,-y,-z'
'-y+1/4,x+3/4,z+1/4'
'y+1/4,-x+3/4,-z+1/4'
'-x+1/2,-y,z+1/2'
'x+1/2,y,-z+1/2'
'y+1/4,-x+1/4,z+3/4'
'-y+1/4,x+1/4,-z+3/4'
'x,-y,-z'
'-x,y,z'
'-y+1/4,-x+1/4,-z+3/4'
'y+1/4,x+1/4,z+3/4'
'-x+1/2,y,-z+1/2'
'x+1/2,-y,z+1/2'
'y+1/4,x+3/4,-z+1/4'
'-y+1/4,-x+3/4,z+1/4'
'x+1/2,y+1/2,z+1/2'
'-x+1/2,-y+1/2,-z+1/2'
'-y+3/4,x+1/4,z+3/4'
'y+3/4,-x+1/4,-z+3/4'
'-x,-y+1/2,z'
'x,y+1/2,-z'
'y+3/4,-x+3/4,z+1/4'
'-y+3/4,x+3/4,-z+1/4'
'x+1/2,-y+1/2,-z+1/2'
'-x+1/2,y+1/2,z+1/2'
'-y+3/4,-x+3/4,-z+1/4'
'y+3/4,x+3/4,z+1/4'
'-x,y+1/2,-z'
'x,-y+1/2,z'
'y+3/4,x+1/4,-z+3/4'
'-y+3/4,-x+1/4,z+3/4'
loop_
_atom_site_label
_atom_site_type_symbol
_atom_site_fract_x
_atom_site_fract_y
_atom_site_fract_z
_atom_site_occupancy
Cs1 Cs 0.000 0.250 0.375 1
Pt1 Pt 0.000 0.000 0.000 1
I1 I 0.000 0.250 0.875 1

---

(2)
# PBE-GGA Cs3PtI, optimized geometry
# Formation energy (no corrections) ... -591 meV/atom
data_Cs3PtI
_chemical_formula_sum 'Cs3 Pt1 I1'
_cell_length_a 6.590
_cell_length_b 6.590
_cell_length_c 6.590
_cell_angle_alpha 90.00
_cell_angle_beta 90.00
_cell_angle_gamma 90.00
_symmetry_space_group_name_H-M 'P m -3 m'
_symmetry_Int_Tables_number 221
_symmetry_space_group_name_Hall '-P 4 2 3'
loop_
_atom_site_label
_atom_site_type_symbol
_atom_site_fract_x
_atom_site_fract_y
_atom_site_fract_z
_atom_site_occupancy
Cs1 Cs 0.000 0.000 0.500 1
Pt1 Pt 0.000 0.000 0.000 1
I1 I 0.500 0.500 0.500 1

---

(3)
# PBE-GGA Cs3PtI8, optimized geometry
# Formation energy (no corrections) ... -782 meV/atom
data_Cs3PtI8
_chemical_formula_sum 'Cs6 Pt2 I16'
_cell_length_a 11.5203
_cell_length_b 11.5203
_cell_length_c 9.9893
_cell_angle_alpha 90.00
_cell_angle_beta 90.00
_cell_angle_gamma 120.00
_symmetry_space_group_name_H-M 'P 63 m c'
_symmetry_Int_Tables_number 186
_symmetry_space_group_name_Hall 'P 6c -2c'
loop_
_atom_site_label
_atom_site_type_symbol
_atom_site_fract_x
_atom_site_fract_y
_atom_site_fract_z
_atom_site_occupancy
Cs1 Cs 0.1517 0.3034 0.0000 1
Pt1 Pt 0.3333 0.6667 0.4337 1
I1 I 0.0000 0.0000 0.2493 1
I2 I 0.1103 0.5552 0.2804 1
I3 I 0.2215 0.4431 0.5903 1
I4 I 0.3333 0.6667 0.9258 1

---

(4)
# PBE-GGA Cs5PtI, optimized geometry
# Formation energy (no corrections) ... -427 meV/atom
data_Cs5PtI
_chemical_formula_sum 'Cs20 Pt4 I4'
_cell_length_a 9.228
_cell_length_b 18.315
_cell_length_c 12.545
_cell_angle_alpha 90.00
_cell_angle_beta 99.20
_cell_angle_gamma 90.00
_symmetry_space_group_name_H-M 'C 1 2/c 1'
_symmetry_Int_Tables_number 15
loop_
_symmetry_equiv_pos_as_xyz
'x,y,z'
'-x,-y,-z'
'-x,y,-z+1/2'
'x,-y,z+1/2'
'x+1/2,y+1/2,z'
'-x+1/2,-y+1/2,-z'
'-x+1/2,y+1/2,-z+1/2'
'x+1/2,-y+1/2,z+1/2'
loop_
_atom_site_label
_atom_site_type_symbol
_atom_site_fract_x
_atom_site_fract_y
_atom_site_fract_z
_atom_site_occupancy
Cs1 Cs 0.000 0.075 0.250 1
Cs2 Cs 0.183 0.405 0.992 1
Cs3 Cs 0.186 0.147 0.616 1
Pt1 Pt 0.000 0.000 0.000 1
I1 I 0.000 0.479 0.250 1

---

Please write out number 1 again, unchanged.
# PBE-GGA CsPt2I, optimized geometry
# Formation energy (no corrections) ... 1 meV/atom
data_CsPt2I
_chemical_formula_sum 'Cs4 Pt8 I4'
_cell_length_a 5.674
_cell_length_b 5.674
_cell_length_c 17.363
_cell_angle_alpha 90.00
_cell_angle_beta 90.00
_cell_angle_gamma 90.00
_symmetry_space_group_name_H-M 'I 41/a m d'
_symmetry_Int_Tables_number 141
loop_
_symmetry_equiv_pos_as_xyz
'x,y,z'
'-x,-y,-z'
'-y+1/4,x+3/4,z+1/4'
'y+1/4,-x+3/4,-z+1/4'
'-x+1/2,-y,z+1/2'
'x+1/2,y,-z+1/2'
'y+1/4,-x+1/4,z+3/4'
'-y+1/4,x+1/4,-z+3/4'
'x,-y,-z'
'-x,y,z'
'-y+1/4,-x+1/4,-z+3/4'
'y+1/4,x+1/4,z+3/4'
'-x+1/2,y,-z+1/2'
'x+1/2,-y,z+1/2'
'y+1/4,x+3/4,-z+1/4'
'-y+1/4,-x+3/4,z+1/4'
'x+1/2,y+1/2,z+1/2'
'-x+1/2,-y+1/2,-z+1/2'
'-y+3/4,x+1/4,z+3/4'
'y+3/4,-x+1/4,-z+3/4'
'-x,-y+1/2,z'
'x,y+1/2,-z'
'y+3/4,-x+3/4,z+1/4'
'-y+3/4,x+3/4,-z+1/4'
'x+1/2,-y+1/2,-z+1/2'
'-x+1/2,y+1/2,z+1/2'
'-y+3/4,-x+3/4,-z+1/4'
'y+3/4,x+3/4,z+1/4'
'-x,y+1/2,-z'
'x,-y+1/2,z'
'y+3/4,x+1/4,-z+3/4'
'-y+3/4,-x+1/4,z+3/4'
loop_
_atom_site_label
_atom_site_type_symbol
_atom_site_fract_x
_atom_site_fract_y
_atom_site_fract_z
_atom_site_occupancy
Cs1 Cs 0.000 0.250 0.375 1
Pt1 Pt 0.000 0.000 0.000 1
I1 I 0.000 0.250 0.875 1

---

Which of these has the highest formation energy (no corrections)? CsPt2I

---

What is the formation energy (no corrections) in the first record? 1 meV/atom